[1]
DFT (PBE with a Hubbard U) results for a geometry-optimized Ba2VTcO6 structure.

Summary:
Its space group is R-3m.

Lattice parameters (Å, degrees): 10.045 10.045 10.045 33.72 33.72 33.72
Element x y z (fractional)
Ba1 0.128 0.128 0.128
Ba2 0.286 0.286 0.286
Ba3 0.714 0.714 0.714
Ba4 0.872 0.872 0.872
V1 0.408 0.408 0.408
V2 0.592 0.592 0.592
Tc1 0.000 0.000 0.000
Tc2 0.500 0.500 0.500
O1 0.146 0.609 0.609
O2 0.208 0.208 0.704
O3 0.208 0.704 0.208
O4 0.296 0.792 0.792
O5 0.391 0.391 0.854
O6 0.391 0.854 0.391
O7 0.609 0.146 0.609
O8 0.609 0.609 0.146
O9 0.704 0.208 0.208
O10 0.792 0.296 0.792
O11 0.792 0.792 0.296
O12 0.854 0.391 0.391

=====

[2]
DFT (PBE with a Hubbard U) results for a geometry-optimized Ba3VTc2O9 structure.

Summary:
Its space group is P-3m1.

Lattice parameters (Å, degrees): 5.733 5.733 7.037 90.00 90.00 120.00
Element x y z (fractional)
Ba1 0.000 0.000 0.000
Ba2 0.333 0.667 0.658
Ba3 0.667 0.333 0.342
V1 0.000 0.000 0.500
Tc1 0.333 0.667 0.161
Tc2 0.667 0.333 0.839
O1 0.000 0.500 0.000
O2 0.169 0.338 0.328
O3 0.169 0.831 0.328
O4 0.338 0.169 0.672
O5 0.500 0.000 0.000
O6 0.500 0.500 0.000
O7 0.662 0.831 0.328
O8 0.831 0.169 0.672
O9 0.831 0.662 0.672

=====

[3]
DFT (PBE with a Hubbard U) results for a geometry-optimized Ba2V3TcO12 structure.

Summary:
Its space group is R-3m.

Lattice parameters (Å, degrees): 7.097 7.097 7.097 59.27 59.27 59.27
Element x y z (fractional)
Ba1 0.120 0.120 0.120
Ba2 0.880 0.880 0.880
V1 0.000 0.500 0.500
V2 0.500 0.000 0.500
V3 0.500 0.500 0.000
Tc1 0.500 0.500 0.500
O1 0.169 0.576 0.576
O2 0.186 0.186 0.572
O3 0.186 0.572 0.186
O4 0.424 0.424 0.831
O5 0.424 0.831 0.424
O6 0.428 0.814 0.814
O7 0.572 0.186 0.186
O8 0.576 0.169 0.576
O9 0.576 0.576 0.169
O10 0.814 0.428 0.814
O11 0.814 0.814 0.428
O12 0.831 0.424 0.424

=====

[4]
DFT (PBE with a Hubbard U) results for a geometry-optimized Ba2VTc3O12 structure.

Summary:
Its space group is R-3m.

Lattice parameters (Å, degrees): 7.162 7.162 7.162 61.12 61.12 61.12
Element x y z (fractional)
Ba1 0.166 0.166 0.166
Ba2 0.834 0.834 0.834
V1 0.500 0.500 0.500
Tc1 0.000 0.500 0.500
Tc2 0.500 0.000 0.500
Tc3 0.500 0.500 0.000
O1 0.176 0.176 0.557
O2 0.176 0.557 0.176
O3 0.189 0.565 0.565
O4 0.435 0.435 0.811
O5 0.435 0.811 0.435
O6 0.443 0.824 0.824
O7 0.557 0.176 0.176
O8 0.565 0.189 0.565
O9 0.565 0.565 0.189
O10 0.811 0.435 0.435
O11 0.824 0.443 0.824
O12 0.824 0.824 0.443

=====

[5]
DFT (PBE with a Hubbard U) results for a geometry-optimized BaVTcO6 structure.

Summary:
Its space group is P1.

Lattice parameters (Å, degrees): 5.120 5.257 5.742 90.73 92.48 117.05
Element x y z (fractional)
Ba1 0.000 0.000 0.000
V1 0.342 0.693 0.475
Tc1 0.665 0.328 0.512
O1 0.003 0.399 0.681
O2 0.006 0.619 0.308
O3 0.400 0.023 0.688
O4 0.412 0.401 0.300
O5 0.604 0.618 0.687
O6 0.607 0.009 0.302

=====

Calculated values (Bohr magnetons per cell) of M_tot for the records, taken in order: 3.7, 1.4, 2.0, 6.0, 2.0.
Calculated values (eV per cell) of total energy for the records, taken in order: -147.11, -110.89, -131.27, -133.86, -67.23.
Calculated values (states/eV/atom) of N(E_F) for the records, taken in order: 0.29, 0.43, 0.35, 0.37, 0.04.